# 1
# CaTl3Os, optimized geometry, DFT PBE
# Volume   30.1 A^3/atom
# Energy above the lowest structure with this stoichiometry   0.0000 eV per atom
# Total energy   -3.7225 eV per atom
# Energy relative to the elements   0.3435 eV per atom
data_CaTl3Os
_chemical_formula_sum 'Ca1 Tl3 Os1'
_space_group_name_H-M_alt 'P 1'
_space_group_IT_number 1
_cell_length_a 5.321
_cell_length_b 5.321
_cell_length_c 5.321
_cell_angle_alpha 90.00
_cell_angle_beta 90.00
_cell_angle_gamma 90.00
loop_
_space_group_symop_operation_xyz
'x,y,z'
loop_
_atom_site_label
_atom_site_type_symbol
_atom_site_fract_x
_atom_site_fract_y
_atom_site_fract_z
Tl1 Tl 0.000 0.500 0.000
Tl2 Tl 0.000 0.000 0.500
Tl3 Tl 0.500 0.000 0.000
Os1 Os 0.000 0.000 0.000
Ca1 Ca 0.500 0.500 0.500

***

# 2
# Ca4TlOs, optimized geometry, DFT PBE
# Volume   26.6 A^3/atom
# Total energy   -2.7380 eV per atom
# Energy relative to the elements   0.8624 eV per atom
data_Ca4TlOs
_chemical_formula_sum 'Ca4 Tl1 Os1'
_space_group_name_H-M_alt 'P 1'
_space_group_IT_number 1
_cell_length_a 6.086
_cell_length_b 6.086
_cell_length_c 6.086
_cell_angle_alpha 60.00
_cell_angle_beta 60.00
_cell_angle_gamma 60.00
loop_
_space_group_symop_operation_xyz
'x,y,z'
loop_
_atom_site_label
_atom_site_type_symbol
_atom_site_fract_x
_atom_site_fract_y
_atom_site_fract_z
Ca1 Ca 0.871 0.376 0.376
Ca2 Ca 0.376 0.376 0.871
Ca3 Ca 0.376 0.871 0.376
Ca4 Ca 0.376 0.376 0.376
Tl1 Tl 0.000 0.000 0.000
Os1 Os 0.750 0.750 0.750